1.
Here is AlPb4 after structural relaxation from Alexandria. Energies are from PBE.

DOS(E_F): 2.96 states/eV/cell
final energy: -3.575 eV per atom

Cell lengths 6.1843, 6.1843, 6.1843 Å; angles 97.08, 97.08, 138.88 degrees
With the nearest neighbours (Å) after each atom.
Sites, in units of the cell vectors:
Al (0.0000, 0.0000, 0.0000)  8 Pb 3.25
Pb (0.2174, 0.4125, 0.6299)  2 Al 3.25, 8 Pb 3.43-3.48
Pb (0.4125, 0.7826, 0.1951)  2 Al 3.25, 8 Pb 3.43-3.48
Pb (0.5875, 0.2174, 0.8049)  2 Al 3.25, 8 Pb 3.43-3.48
Pb (0.7826, 0.5875, 0.3701)  2 Al 3.25, 8 Pb 3.43-3.48

---

2.
Here is Al4NiRu2Au after structural relaxation from Alexandria. Energies are from PBE.

DOS(E_F): 4.88 states/eV/cell
final energy: -5.885 eV per atom

Cell lengths 7.4233, 7.4233, 7.4233 Å; angles 33.42, 33.42, 33.42 degrees
With the nearest neighbours (Å) after each atom.
Sites, in units of the cell vectors:
Al (0.1177, 0.1177, 0.1177)  1 Ni 2.47, 4 Ru 2.56-2.75, 3 Au 2.67
Al (0.3696, 0.3696, 0.3696)  4 Ru 2.54-2.67, 3 Ni 2.58, 1 Au 2.74
Al (0.6304, 0.6304, 0.6304)  4 Ru 2.54-2.67, 3 Ni 2.58, 1 Au 2.74
Al (0.8823, 0.8823, 0.8823)  1 Ni 2.47, 4 Ru 2.56-2.75, 3 Au 2.67
Ni (0.0000, 0.0000, 0.0000)  8 Al 2.47-2.58
Ru (0.2487, 0.2487, 0.2487)  8 Al 2.54-2.75
Ru (0.7513, 0.7513, 0.7513)  8 Al 2.54-2.75
Au (0.5000, 0.5000, 0.5000)  8 Al 2.67-2.74

---

3.
Here is PuIrS2 after structural relaxation from Alexandria. Energies are from PBE.

DOS(E_F): 8.66 states/eV/cell
E_form (uncorrected): -0.323 eV/atom
final energy: -8.185 eV per atom

Cell lengths 8.1483, 8.1483, 8.1483 Å; angles 25.73, 25.73, 25.73 degrees
With the nearest neighbours (Å) after each atom.
Sites, in units of the cell vectors:
Pu (0.0000, 0.0000, 0.0000)  2 S 2.78
Ir (0.5000, 0.5000, 0.5000)  6 S 2.39
S (0.1176, 0.1176, 0.1176)  3 Ir 2.39
S (0.8824, 0.8824, 0.8824)  3 Ir 2.39

---

4.
Here is Li2Ag2Hg4Pd3 after structural relaxation from Alexandria. Energies are from PBE.

DOS(E_F): 3.45 states/eV/cell
final energy: -2.543 eV per atom

Cell lengths 4.5293, 4.5293, 11.5521 Å; angles 90.00, 90.00, 120.00 degrees
With the nearest neighbours (Å) after each atom.
Sites, in units of the cell vectors:
Li (0.3333, 0.6667, 0.0878)  5 Hg 2.67-2.81, 3 Pd 2.80
Li (0.6667, 0.3333, 0.9122)  5 Hg 2.67-2.81, 3 Pd 2.80
Ag (0.3333, 0.6667, 0.5762)  4 Hg 2.82-2.83, 3 Ag 3.15
Ag (0.6667, 0.3333, 0.4238)  4 Hg 2.82-2.83, 3 Ag 3.15
Hg (0.3333, 0.6667, 0.3314)  3 Pd 2.80, 1 Li 2.81, 4 Ag 2.82-2.83
Hg (0.3333, 0.6667, 0.8567)  4 Li 2.67-2.69, 3 Pd 2.86
Hg (0.6667, 0.3333, 0.1433)  4 Li 2.67-2.69, 3 Pd 2.86
Hg (0.6667, 0.3333, 0.6686)  3 Pd 2.80, 1 Li 2.81, 4 Ag 2.82-2.83
Pd (0.0000, 0.0000, 0.0000)  6 Li 2.80, 2 Pd 2.82, 6 Hg 3.10
Pd (0.0000, 0.0000, 0.2438)  6 Hg 2.80-2.86, 1 Pd 2.82
Pd (0.0000, 0.0000, 0.7562)  6 Hg 2.80-2.86, 1 Pd 2.82

---

5.
Here is Mn2H2Rh after structural relaxation from Alexandria. Energies are from PBE.

DOS(E_F): 1.58 states/eV/cell
final energy: -6.518 eV per atom
energy above the lowest structure with this stoichiometry: 0.00 kJ per mole of atoms

Cell lengths 5.6642, 5.6642, 5.6642 Å; angles 149.45, 149.45, 43.75 degrees
With the nearest neighbours (Å) after each atom.
Sites, in units of the cell vectors:
Mn (0.1524, 0.1524, 0.0000)  4 H 1.81
Mn (0.8476, 0.8476, 0.0000)  4 H 1.81
H (0.2500, 0.7500, 0.5000)  4 Mn 1.81
H (0.7500, 0.2500, 0.5000)  4 Mn 1.81
Rh (0.5000, 0.5000, 0.0000)  8 Mn 2.65

---

6.
Here is CuTc2Mo after structural relaxation from Alexandria. Energies are from PBE.

DOS(E_F): 3.16 states/eV/cell
final energy: -8.693 eV per atom
energy above the lowest structure with this stoichiometry: 7.10 kJ per mole of atoms

Cell lengths 4.3348, 4.3348, 4.3348 Å; angles 60.00, 60.00, 60.00 degrees
With the nearest neighbours (Å) after each atom.
Sites, in units of the cell vectors:
Cu (0.0000, 0.0000, 0.0000)  8 Tc 2.65
Tc (0.2500, 0.2500, 0.2500)  4 Mo 2.65, 4 Cu 2.65
Tc (0.7500, 0.7500, 0.7500)  4 Mo 2.65, 4 Cu 2.65
Mo (0.5000, 0.5000, 0.5000)  8 Tc 2.65

---

7.
Here is La8Tb6Y after structural relaxation from Alexandria. Energies are from PBE.

DOS(E_F): 24.86 states/eV/cell
final energy: -4.751 eV per atom

Cell lengths 9.4883, 9.4883, 6.7090 Å; angles 90.00, 90.00, 120.00 degrees
With the nearest neighbours (Å) after each atom.
Sites, in units of the cell vectors:
La (0.0411, 0.2935, 0.1654)  3 La 3.24-3.43, 2 Tb 3.35-3.45, 1 Y 3.44
La (0.2524, 0.9589, 0.1654)  3 La 3.24-3.43, 2 Tb 3.35-3.45, 1 Y 3.44
La (0.2935, 0.2524, 0.8346)  3 La 3.24-3.43, 2 Tb 3.35-3.45, 1 Y 3.44
La (0.3333, 0.6667, 0.1190)  3 La 3.24
La (0.6667, 0.3333, 0.8810)  3 La 3.24
La (0.7065, 0.7476, 0.1654)  3 La 3.24-3.43, 2 Tb 3.35-3.45, 1 Y 3.44
La (0.7476, 0.0411, 0.8346)  3 La 3.24-3.43, 2 Tb 3.35-3.45, 1 Y 3.44
La (0.9589, 0.7065, 0.8346)  3 La 3.24-3.43, 2 Tb 3.35-3.45, 1 Y 3.44
Tb (0.0959, 0.4342, 0.6502)  1 Tb 3.35, 5 La 3.35-3.75
Tb (0.3383, 0.9041, 0.6502)  1 Tb 3.35, 5 La 3.35-3.75
Tb (0.4342, 0.3383, 0.3498)  1 Tb 3.35, 5 La 3.35-3.75
Tb (0.5658, 0.6617, 0.6502)  1 Tb 3.35, 5 La 3.35-3.75
Tb (0.6617, 0.0959, 0.3498)  1 Tb 3.35, 5 La 3.35-3.75
Tb (0.9041, 0.5658, 0.3498)  1 Tb 3.35, 5 La 3.35-3.75
Y (0.0000, 0.0000, 0.5000)  6 La 3.44

---

8.
Here is ScAsSe2Cl after structural relaxation from Alexandria. Energies are from PBE.

DOS(E_F): 4.07 states/eV/cell
E_form (uncorrected): -0.101 eV/atom
final energy: -4.061 eV per atom
energy above the lowest structure with this stoichiometry: 0.00 kJ per mole of atoms

Cell lengths 5.0434, 5.0434, 5.3838 Å; angles 90.00, 90.00, 90.00 degrees
With the nearest neighbours (Å) after each atom.
Sites, in units of the cell vectors:
Sc (0.0000, 0.0000, 0.0000)  4 Se 2.52, 2 As 2.69
As (0.0000, 0.0000, 0.5000)  2 Sc 2.69
Se (0.0000, 0.5000, 0.0000)  2 Sc 2.52
Se (0.5000, 0.0000, 0.0000)  2 Sc 2.52
Cl (0.5000, 0.5000, 0.5000)  4 As 3.57, 8 Se 3.69

---

9.
Here is Ce3Zn2Ga4 after structural relaxation from Alexandria. Energies are from PBE.

DOS(E_F): 15.11 states/eV/cell
final energy: -4.100 eV per atom

Cell lengths 5.8095, 5.8095, 8.5822 Å; angles 108.24, 108.24, 45.33 degrees
With the nearest neighbours (Å) after each atom.
Sites, in units of the cell vectors:
Ce (0.0000, 0.0000, 0.0000)  8 Ga 3.12-3.32, 4 Zn 3.36
Ce (0.3441, 0.3441, 0.3258)  8 Ga 3.07-3.25, 4 Zn 3.12-3.21
Ce (0.6559, 0.6559, 0.6742)  8 Ga 3.07-3.25, 4 Zn 3.12-3.21
Zn (0.3639, 0.3639, 0.6986)  3 Ga 2.56-2.58
Zn (0.6361, 0.6361, 0.3014)  3 Ga 2.56-2.58
Ga (0.0776, 0.0776, 0.4083)  2 Zn 2.58, 1 Ga 2.65
Ga (0.2872, 0.2872, 0.9501)  1 Zn 2.56, 2 Ga 2.62
Ga (0.7128, 0.7128, 0.0499)  1 Zn 2.56, 2 Ga 2.62
Ga (0.9224, 0.9224, 0.5917)  2 Zn 2.58, 1 Ga 2.65

---

10.
Here is K3NdF6 after structural relaxation from Alexandria. Energies are from PBE.

DOS(E_F): 0.00 states/eV/cell
E_form (uncorrected): -3.251 eV/atom
final energy: -5.180 eV per atom

Cell lengths 8.3891, 10.3332, 4.0610 Å; angles 90.00, 90.00, 90.00 degrees
With the nearest neighbours (Å) after each atom.
Sites, in units of the cell vectors:
K (0.0000, 0.0000, 0.0000)  6 F 2.77-2.78
K (0.2203, 0.2518, 0.5000)  3 F 2.59-2.60
K (0.2797, 0.7518, 0.0000)  3 F 2.59-2.60
K (0.5000, 0.5000, 0.5000)  6 F 2.77-2.78
K (0.7203, 0.2482, 0.0000)  3 F 2.59-2.60
K (0.7797, 0.7482, 0.5000)  3 F 2.59-2.60
Nd (0.0000, 0.5000, 0.0000)  8 F 2.39-2.42
Nd (0.5000, 0.0000, 0.5000)  8 F 2.39-2.42
F (0.0289, 0.2684, 0.0000)  1 Nd 2.41, 3 K 2.59-2.60
F (0.1133, 0.5869, 0.5000)  2 Nd 2.42, 1 F 2.61
F (0.2191, 0.9609, 0.5000)  1 Nd 2.39
F (0.2809, 0.4609, 0.0000)  1 Nd 2.39
F (0.3867, 0.0869, 0.0000)  2 Nd 2.42, 1 F 2.61
F (0.4711, 0.7684, 0.5000)  1 Nd 2.41, 3 K 2.59-2.60
F (0.5289, 0.2316, 0.5000)  1 Nd 2.41, 3 K 2.59-2.60
F (0.6133, 0.9131, 0.0000)  2 Nd 2.42, 1 F 2.61
F (0.7191, 0.5391, 0.0000)  1 Nd 2.39
F (0.7809, 0.0391, 0.5000)  1 Nd 2.39
F (0.8867, 0.4131, 0.5000)  2 Nd 2.42, 1 F 2.61
F (0.9711, 0.7316, 0.0000)  1 Nd 2.41, 3 K 2.59-2.60

---

11.
Here is Li5PrGa7 after structural relaxation from Alexandria. Energies are from PBE.

DOS(E_F): 5.26 states/eV/cell
final energy: -3.070 eV per atom

Cell lengths 6.9539, 6.9539, 6.9539 Å; angles 134.64, 99.01, 98.09 degrees
With the nearest neighbours (Å) after each atom.
Sites, in units of the cell vectors:
Li (0.0000, 0.0000, 0.0000)  4 Li 2.65, 6 Ga 2.82-2.93
Li (0.2766, 0.2804, 0.5044)  7 Ga 2.62-2.82, 3 Li 2.64-2.72
Li (0.2766, 0.7723, 0.9963)  7 Ga 2.62-2.82, 3 Li 2.64-2.72
Li (0.7760, 0.2804, 0.0037)  7 Ga 2.62-2.82, 3 Li 2.64-2.72
Li (0.7760, 0.7723, 0.4956)  7 Ga 2.62-2.82, 3 Li 2.64-2.72
Pr (0.7684, 0.2684, 0.5000)  10 Ga 3.12-3.36, 6 Li 3.41-3.44
Ga (0.0020, 0.7813, 0.2206)  5 Li 2.63-2.82, 5 Ga 2.85-2.92
Ga (0.1205, 0.2709, 0.8495)  4 Ga 2.72-2.92, 5 Li 2.76-2.82
Ga (0.1299, 0.6299, 0.5000)  3 Ga 2.70-2.88, 6 Li 2.78-2.93
Ga (0.4214, 0.2709, 0.1505)  4 Ga 2.72-2.92, 5 Li 2.76-2.82
Ga (0.4259, 0.9259, 0.5000)  5 Ga 2.70-2.90, 4 Li 2.79
Ga (0.5469, 0.5469, 0.0000)  4 Li 2.62, 6 Ga 2.86-2.92
Ga (0.5607, 0.7813, 0.7794)  5 Li 2.63-2.82, 5 Ga 2.85-2.92

---

12.
Here is CsNaTl7Rh2 after structural relaxation from Alexandria. Energies are from PBE.

DOS(E_F): 6.18 states/eV/cell
final energy: -3.021 eV per atom

Cell lengths 5.3182, 5.3182, 13.6679 Å; angles 90.00, 90.00, 90.00 degrees
With the nearest neighbours (Å) after each atom.
Sites, in units of the cell vectors:
Cs (0.0000, 0.0000, 0.0000)  12 Tl 3.76-3.94
Na (0.0000, 0.0000, 0.5000)  8 Tl 4.03
Tl (0.0000, 0.5000, 0.2127)  2 Rh 2.67
Tl (0.0000, 0.5000, 0.7873)  2 Rh 2.67
Tl (0.5000, 0.0000, 0.2127)  2 Rh 2.67
Tl (0.5000, 0.0000, 0.7873)  2 Rh 2.67
Tl (0.5000, 0.5000, 0.0000)  2 Rh 2.67
Tl (0.5000, 0.5000, 0.3946)  1 Rh 2.73, 1 Tl 2.88
Tl (0.5000, 0.5000, 0.6054)  1 Rh 2.73, 1 Tl 2.88
Rh (0.5000, 0.5000, 0.1950)  6 Tl 2.67-2.73
Rh (0.5000, 0.5000, 0.8050)  6 Tl 2.67-2.73

---

| no. | density (g cm⁻³) |
| --- | --- |
| 1 | 9.758 |
| 2 | 8.499 |
| 3 | 9.256 |
| 4 | 10.933 |
| 5 | 7.618 |
| 6 | 10.249 |
| 7 | 6.837 |
| 8 | 3.798 |
| 9 | 7.114 |
| 10 | 3.543 |
| 11 | 4.992 |
| 12 | 7.699 |